# AcLaPt GGA-PBE optimized geometry
data_AcLaPt
_cell_length_a 7.429
_cell_length_b 7.429
_cell_length_c 7.429
_cell_angle_alpha 90.00
_cell_angle_beta 90.00
_cell_angle_gamma 90.00
_symmetry_space_group_name_H-M 'P 1'
_symmetry_Int_Tables_number 1
_symmetry_space_group_name_Hall 'P 1'
loop_
_atom_site_label
_atom_site_type_symbol
_atom_site_fract_x
_atom_site_fract_y
_atom_site_fract_z
La1 La 0.335 0.835 0.665
La2 La 0.835 0.665 0.335
La3 La 0.665 0.335 0.835
La4 La 0.165 0.165 0.165
Ac1 Ac 0.833 0.833 0.833
Ac2 Ac 0.167 0.333 0.667
Ac3 Ac 0.667 0.167 0.333
Ac4 Ac 0.333 0.667 0.167
Pt1 Pt 0.487 0.013 0.987
Pt2 Pt 0.513 0.513 0.513
Pt3 Pt 0.987 0.487 0.013
Pt4 Pt 0.013 0.987 0.487
# - ΔH_f (0 K): -0.77 eV per atom
# - Calculated total energy: -69.60 eV for the cell shown
# - V: 409.9 Å³ per cell